1 | Computed, not measured: a geometry-optimized Ag5As4 structure at the GGA-PBE level of DFT.

The structure belongs to space group I4/mmm (No. 139); the cell edges are 9.035, 9.035 and 4.153 Å and the angles 90.00°, 90.00° and 90.00°. The asymmetric unit holds Ag at (0.000, 0.000, 0.000), Ag at (0.167, 0.167, 0.500) and As at (0.000, 0.309, 0.000).

The value obtained for the magnetization is 0.00 μB per cell.

=====

2 | Computed, not measured: a geometry-optimized Ag5As4 structure at the GGA-PBE level of DFT.

The structure belongs to space group P6_3/mcm (No. 193); the cell edges are 8.5490, 8.5490 and 5.4832 Å and the angles 90.00°, 90.00° and 120.00°. The asymmetric unit holds Ag at (0.0000, 0.2918, 0.2500), Ag at (0.3333, 0.6667, 0.0000), As at (0.0000, 0.0000, 0.0000) and As at (0.0000, 0.3991, 0.7500).

The value obtained for the magnetization is 0.00 μB per cell.

=====

The data favor 1; the next most stable structure lies 4.1 kJ/mol of atoms above it.

=====

1 | Computed, not measured: a geometry-optimized Ag2AsAu2 structure at the GGA-PBE level of DFT.

The structure belongs to space group I4/mmm (No. 139); the cell edges are 3.762, 3.762 and 14.590 Å and the angles 90.00°, 90.00° and 90.00°. The asymmetric unit holds Ag at (0.000, 0.000, 0.094), As at (0.000, 0.000, 0.500) and Au at (0.000, 0.500, 0.250).

The value obtained for the magnetization is 0.00 μB per cell.

=====

2 | Computed, not measured: a geometry-optimized Ag2AsAu2 structure at the GGA-PBE level of DFT.

The structure belongs to space group P4/mbm (No. 127); the cell edges are 7.554, 7.554 and 3.385 Å and the angles 90.00°, 90.00° and 90.00°. The asymmetric unit holds Ag at (0.156, 0.344, 0.000), As at (0.000, 0.000, 0.500) and Au at (0.142, 0.642, 0.500).

The value obtained for the magnetization is 0.00 μB per cell.

=====

The data favor 2; the next most stable structure lies 10.4 kJ/mol of atoms above it.

=====

1 | Computed, not measured: a geometry-optimized Ag2BAs structure at the GGA-PBE level of DFT.

The structure belongs to space group I-42d (No. 122); the cell edges are 4.194, 4.194 and 15.812 Å and the angles 90.00°, 90.00° and 90.00°. The asymmetric unit holds Ag at (0.208, 0.250, 0.125), B at (0.000, 0.000, 0.000) and As at (0.000, 0.000, 0.500).

The value obtained for the magnetization is 0.00 μB per cell.

=====

2 | Computed, not measured: a geometry-optimized Ag2BAs structure at the GGA-PBE level of DFT.

The structure belongs to space group Fm-3m (No. 225); the cell edges are 6.383, 6.383 and 6.383 Å and the angles 90.00°, 90.00° and 90.00°. The asymmetric unit holds Ag at (0.250, 0.250, 0.250), B at (0.000, 0.000, 0.000) and As at (0.000, 0.000, 0.500).

The value obtained for the magnetization is 0.00 μB per cell.

=====

The data favor 1; the next most stable structure lies 7.3 kJ/mol of atoms above it.